# BP2C3, optimized geometry, DFT PBE
# Energy of formation, eV per atom: 0.31
# Mass density, kg/m³: 2419
# VASP energy, eV per formula unit: -43.32
# Magnetic moment, μB per formula unit: 0.00
data_BP2C3
_cell_length_a 4.280
_cell_length_b 4.464
_cell_length_c 4.878
_cell_angle_alpha 109.13
_cell_angle_beta 102.93
_cell_angle_gamma 112.37
_symmetry_space_group_name_H-M 'P 1'
_symmetry_Int_Tables_number 1
loop_
_symmetry_equiv_pos_as_xyz
'x,y,z'
loop_
_atom_site_label
_atom_site_fract_x
_atom_site_fract_y
_atom_site_fract_z
_atom_site_occupancy
B1 0.000 0.000 0.000 1
P1 0.109 0.949 0.381 1
P2 0.561 0.734 0.383 1
C1 0.299 0.334 0.004 1
C2 0.369 0.375 0.745 1
C3 0.638 0.678 0.735 1

# BaTbTlSn, optimized geometry, DFT PBE
# Energy of formation, eV per atom: -0.37
# Mass density, kg/m³: 7874
# VASP energy, eV per formula unit: -14.41
# Magnetic moment, μB per formula unit: 0.00
data_BaTbTlSn
_cell_length_a 8.054
_cell_length_b 8.054
_cell_length_c 8.054
_cell_angle_alpha 90.00
_cell_angle_beta 90.00
_cell_angle_gamma 90.00
_symmetry_space_group_name_H-M 'F -4 3 m'
_symmetry_Int_Tables_number 216
_symmetry_space_group_name_Hall 'F -4 2 3'
loop_
_atom_site_label
_atom_site_fract_x
_atom_site_fract_y
_atom_site_fract_z
_atom_site_occupancy
Ba1 0.000 0.000 0.000 1
Tb1 0.000 0.000 0.500 1
Tl1 0.250 0.250 0.750 1
Sn1 0.250 0.250 0.250 1

# PRhS3, optimized geometry, DFT PBE
# Mass density, kg/m³: 3958
# VASP energy, eV per formula unit: -21.07
# Formation energy from raw total energies, eV/atom: 0.8151
# Magnetic moment, μB per formula unit: 0.00
data_PRhS3
_cell_length_a 4.587
_cell_length_b 4.587
_cell_length_c 4.587
_cell_angle_alpha 90.00
_cell_angle_beta 90.00
_cell_angle_gamma 90.00
_symmetry_space_group_name_H-M 'P m -3 m'
_symmetry_Int_Tables_number 221
_symmetry_space_group_name_Hall '-P 4 2 3'
loop_
_atom_site_label
_atom_site_fract_x
_atom_site_fract_y
_atom_site_fract_z
_atom_site_occupancy
P1 0.000 0.000 0.000 1
Rh1 0.500 0.500 0.500 1
S1 0.000 0.500 0.500 1

# PrY2Pd, optimized geometry, DFT PBE
# Energy of formation, eV per atom: -0.30
# Mass density, kg/m³: 5888
# VASP energy, eV per formula unit: -24.08
# Magnetic moment, μB per formula unit: 0.00
data_PrY2Pd
_cell_length_a 3.7530
_cell_length_b 3.7530
_cell_length_c 29.4880
_cell_angle_alpha 90.00
_cell_angle_beta 90.00
_cell_angle_gamma 120.00
_symmetry_space_group_name_H-M 'R -3 m'
_symmetry_Int_Tables_number 166
_symmetry_space_group_name_Hall '-R 3 2"'
loop_
_atom_site_label
_atom_site_fract_x
_atom_site_fract_y
_atom_site_fract_z
_atom_site_occupancy
Pr1 0.0000 0.0000 0.0000 1
Y1 0.0000 0.0000 0.2302 1
Pd1 0.0000 0.0000 0.5000 1

# Tl2TeP6, optimized geometry, DFT PBE
# Mass density, kg/m³: 5637
# VASP energy, eV per formula unit: -36.91
# Formation energy from raw total energies, eV/atom: 0.3802
# Magnetic moment, μB per formula unit: 0.00
data_Tl2TeP6
_cell_length_a 6.012
_cell_length_b 6.012
_cell_length_c 11.773
_cell_angle_alpha 90.00
_cell_angle_beta 90.00
_cell_angle_gamma 90.00
_symmetry_space_group_name_H-M 'P 4/m n c'
_symmetry_Int_Tables_number 128
_symmetry_space_group_name_Hall '-P 4 2n'
loop_
_atom_site_label
_atom_site_fract_x
_atom_site_fract_y
_atom_site_fract_z
_atom_site_occupancy
Tl1 0.000 0.500 0.250 1
Te1 0.000 0.000 0.000 1
P1 0.000 0.000 0.360 1
P2 0.082 0.284 0.500 1

# ScRe2PPb, optimized geometry, DFT PBE
# Energy of formation, eV per atom: 1.82
# Mass density, kg/m³: 9487
# VASP energy, eV per formula unit: -31.26
# Magnetic moment, μB per formula unit: 3.66
data_ScRe2PPb
_cell_length_a 4.912
_cell_length_b 4.912
_cell_length_c 4.756
_cell_angle_alpha 90.00
_cell_angle_beta 90.00
_cell_angle_gamma 90.00
_symmetry_space_group_name_H-M 'P 4/m m m'
_symmetry_Int_Tables_number 123
_symmetry_space_group_name_Hall '-P 4 2'
loop_
_atom_site_label
_atom_site_fract_x
_atom_site_fract_y
_atom_site_fract_z
_atom_site_occupancy
Sc1 0.000 0.000 0.000 1
Re1 0.000 0.500 0.000 1
P1 0.000 0.000 0.500 1
Pb1 0.500 0.500 0.500 1

# BiS2O8, optimized geometry, DFT PBE
# Mass density, kg/m³: 3719
# VASP energy, eV per formula unit: -64.73
# Formation energy from raw total energies, eV/atom: -1.1756
# Magnetic moment, μB per formula unit: 0.00
data_BiS2O8
_cell_length_a 9.886
_cell_length_b 14.341
_cell_length_c 10.106
_cell_angle_alpha 90.00
_cell_angle_beta 90.00
_cell_angle_gamma 90.00
_symmetry_space_group_name_H-M 'P b c a'
_symmetry_Int_Tables_number 61
loop_
_symmetry_equiv_pos_as_xyz
'x,y,z'
'-x,-y,-z'
'-x+1/2,-y,z+1/2'
'x+1/2,y,-z+1/2'
'x+1/2,-y+1/2,-z'
'-x+1/2,y+1/2,z'
'-x,y+1/2,-z+1/2'
'x,-y+1/2,z+1/2'
loop_
_atom_site_label
_atom_site_fract_x
_atom_site_fract_y
_atom_site_fract_z
_atom_site_occupancy
Bi1 0.106 0.128 0.144 1
S1 0.071 0.727 0.090 1
S2 0.184 0.010 0.847 1
O1 0.019 0.731 0.231 1
O2 0.027 0.645 0.020 1
O3 0.028 0.682 0.527 1
O4 0.041 0.510 0.300 1
O5 0.184 0.016 0.996 1
O6 0.223 0.737 0.097 1
O7 0.231 0.093 0.781 1
O8 0.232 0.076 0.321 1

# KIrOs, optimized geometry, DFT PBE
# Energy of formation, eV per atom: 0.80
# Mass density, kg/m³: 8786
# VASP energy, eV per formula unit: -18.79
# Magnetic moment, μB per formula unit: 0.00
data_KIrOs
_cell_length_a 4.0248
_cell_length_b 4.0248
_cell_length_c 11.3578
_cell_angle_alpha 90.00
_cell_angle_beta 90.00
_cell_angle_gamma 120.00
_symmetry_space_group_name_H-M 'P 63 m c'
_symmetry_Int_Tables_number 186
_symmetry_space_group_name_Hall 'P 6c -2c'
loop_
_atom_site_label
_atom_site_fract_x
_atom_site_fract_y
_atom_site_fract_z
_atom_site_occupancy
K1 0.0000 0.0000 0.0000 1
Ir1 0.3333 0.6667 0.2237 1
Os1 0.3333 0.6667 0.7703 1

# LaPr2ScS4, optimized geometry, DFT PBE
# Mass density, kg/m³: 5338
# VASP energy, eV per formula unit: -53.11
# Formation energy from raw total energies, eV/atom: -1.9722
# Magnetic moment, μB per formula unit: 0.00
data_LaPr2ScS4
_cell_length_a 6.996
_cell_length_b 3.978
_cell_length_c 7.012
_cell_angle_alpha 90.00
_cell_angle_beta 108.79
_cell_angle_gamma 90.00
_symmetry_space_group_name_H-M 'P 1 2/m 1'
_symmetry_Int_Tables_number 10
loop_
_symmetry_equiv_pos_as_xyz
'x,y,z'
'-x,-y,-z'
'-x,y,-z'
'x,-y,z'
loop_
_atom_site_label
_atom_site_fract_x
_atom_site_fract_y
_atom_site_fract_z
_atom_site_occupancy
La1 0.000 0.000 0.000 1
Pr1 0.000 0.500 0.500 1
Pr2 0.500 0.000 0.500 1
Sc1 0.500 0.500 0.000 1
S1 0.263 0.500 0.239 1
S2 0.274 0.000 0.773 1